The following is a DFT calculation (PBE-GGA) of a geometry-optimized Zr4PtRh structure.

abc: 3.8489 6.2652 6.2651
angles: 90.02 90.00 90.00
Atoms (fractional coordinates):
Zr (0.5000, 0.2910, 0.7090)
Zr (0.0000, 0.7988, 0.7988)
Zr (0.0000, 0.2012, 0.2012)
Zr (0.5000, 0.7090, 0.2910)
Pt (0.0000, 0.5000, 0.5000)
Rh (0.5000, 0.0000, 0.0000)

Energy relative to the lowest polymorph listed for this composition = 0.566 eV per atom
Calculated total energy = -8.034 eV per atom
Formation energy from the elements = -0.103 eV/atom

The following is a DFT calculation (PBE-GGA) of a geometry-optimized Ge2B2Pt7 structure.

abc: 5.4808 5.5007 5.4808
angles: 89.99 94.97 90.01
Atoms (fractional coordinates):
Ge (0.8236, 0.5000, 0.8236)
Ge (0.1764, 0.5000, 0.1764)
B (0.7140, 0.0001, 0.2860)
B (0.2860, 0.9999, 0.7140)
Pt (0.0000, 0.2409, 0.5001)
Pt (0.5001, 0.7591, 0.0000)
Pt (0.0000, 0.7591, 0.4999)
Pt (0.4999, 0.2409, 0.0000)
Pt (0.0000, 0.0000, 0.0000)
Pt (0.5000, 0.7501, 0.5000)
Pt (0.5000, 0.2499, 0.5000)

Calculated total energy = -6.183 eV per atom
Formation energy from the elements = -0.286 eV/atom

The following is a DFT calculation (PBE-GGA) of a geometry-optimized La6ZnRh3 structure.

abc: 4.2154 12.2966 12.3185
angles: 110.00 90.00 90.00
Atoms (fractional coordinates):
La (0.7500, 0.4599, 0.6052)
La (0.2500, 0.5401, 0.3948)
La (0.7500, 0.9286, 0.0921)
La (0.2500, 0.0714, 0.9079)
La (0.7500, 0.3914, 0.0570)
La (0.2500, 0.6086, 0.9430)
La (0.7500, 0.7183, 0.2586)
La (0.2500, 0.2817, 0.7414)
La (0.7500, 0.1288, 0.4617)
La (0.2500, 0.8712, 0.5383)
La (0.7500, 0.7846, 0.7570)
La (0.2500, 0.2154, 0.2430)
Zn (0.7500, 0.0535, 0.7015)
Zn (0.2500, 0.9465, 0.2985)
Rh (0.7500, 0.4471, 0.8359)
Rh (0.2500, 0.5529, 0.1641)
Rh (0.7500, 0.6968, 0.4962)
Rh (0.2500, 0.3032, 0.5038)
Rh (0.7500, 0.1580, 0.0803)
Rh (0.2500, 0.8420, 0.9197)

Calculated total energy = -5.830 eV per atom
Formation energy from the elements = -0.540 eV/atom

The following is a DFT calculation (PBE-GGA) of a geometry-optimized La2YCo structure.

abc: 3.5768 3.5768 8.9991
angles: 90.00 90.00 90.00
Each line ends with the local moment (μB).
Atoms (fractional coordinates):
Co (0.5000, 0.5000, 0.7500)  1.08
La (0.0000, 0.0000, 0.9392)  0.03
La (0.0000, 0.0000, 0.5608)  0.03
Y (0.5000, 0.5000, 0.2500)  0.43

Energy relative to the lowest polymorph listed for this composition = 0.169 eV per atom
Calculated total energy = -5.790 eV per atom
Formation energy from the elements = 0.066 eV/atom

The following is a DFT calculation (PBE-GGA) of a geometry-optimized Ta2CuRu structure.

abc: 4.4859 2.9214 4.8322
angles: 83.77 90.00 90.00
Atoms (fractional coordinates):
Cu (0.0000, 0.6427, 0.4507)
Ru (0.5000, 0.6090, 0.8038)
Ta (0.0000, 0.0492, 0.9292)
Ta (0.5000, 0.1990, 0.3162)

Calculated total energy = -9.344 eV per atom
Formation energy from the elements = -0.075 eV/atom

The following is a DFT calculation (PBE-GGA) of a geometry-optimized CaFeGe2 structure.

abc: 4.0298 7.2793 10.2521
angles: 90.00 90.00 90.00
Each line ends with the local moment (μB).
Atoms (fractional coordinates):
Ca (0.7500, 0.6480, 0.3722)  -0.01
Ca (0.7500, 0.1480, 0.1278)  -0.01
Ca (0.2500, 0.3520, 0.6278)  -0.01
Ca (0.2500, 0.8520, 0.8722)  -0.01
Fe (0.2500, 0.0101, 0.3889)  1.71
Fe (0.7500, 0.9899, 0.6111)  1.71
Fe (0.2500, 0.5101, 0.1111)  1.71
Fe (0.7500, 0.4899, 0.8889)  1.71
Ge (0.7500, 0.6936, 0.0660)  -0.06
Ge (0.2500, 0.3064, 0.9340)  -0.06
Ge (0.7500, 0.1936, 0.4340)  -0.06
Ge (0.2500, 0.8064, 0.5660)  -0.06
Ge (0.7500, 0.1591, 0.8101)  -0.01
Ge (0.2500, 0.3409, 0.3101)  -0.01
Ge (0.7500, 0.6591, 0.6899)  -0.01
Ge (0.2500, 0.8409, 0.1899)  -0.01

Calculated total energy = -5.245 eV per atom
Formation energy from the elements = -0.321 eV/atom

The following is a DFT calculation (PBE-GGA) of a geometry-optimized TaAl2Ag structure.

abc: 4.7011 4.7011 3.0206
angles: 90.00 90.00 90.00
Atoms (fractional coordinates):
Al (0.0000, 0.0000, 0.0000)
Al (0.5000, 0.5000, 0.0000)
Ag (0.0000, 0.5000, 0.5000)
Ta (0.5000, 0.0000, 0.5000)

Energy relative to the lowest polymorph listed for this composition = 0.080 eV per atom
Calculated total energy = -5.607 eV per atom
Formation energy from the elements = -0.060 eV/atom

The following is a DFT calculation (PBE-GGA) of a geometry-optimized ZrMoOs4 structure.

abc: 5.1745 5.1745 5.1745
angles: 60.00 60.00 60.00
Atoms (fractional coordinates):
Zr (0.2500, 0.2500, 0.2500)
Mo (0.0000, 0.0000, 0.0000)
Os (0.6251, 0.6251, 0.1248)
Os (0.6251, 0.1248, 0.6251)
Os (0.6251, 0.6251, 0.6251)
Os (0.1248, 0.6251, 0.6251)

Calculated total energy = -10.663 eV per atom
Formation energy from the elements = 0.054 eV/atom

The following is a DFT calculation (PBE-GGA) of a geometry-optimized KCo2Br structure.

abc: 5.3057 5.1455 3.7012
angles: 86.72 90.00 90.00
Each line ends with the local moment (μB).
Atoms (fractional coordinates):
Br (0.5000, 0.7500, 0.7500)  0.06
Co (0.0000, 0.8670, 0.9874)  1.91
Co (0.0000, 0.6330, 0.5126)  1.91
K (0.5000, 0.2500, 0.2500)  0.00

Energy relative to the lowest polymorph listed for this composition = 0.310 eV per atom
Calculated total energy = -3.715 eV per atom
Energy relative to the elements, uncorrected = 0.531 eV per atom

The following is a DFT calculation (PBE-GGA) of a geometry-optimized LiRhW2 structure.

abc: 5.0896 5.0896 5.0896
angles: 145.11 126.47 65.51
Atoms (fractional coordinates):
Li (0.4920, 0.4920, 0.0000)
Rh (0.2481, 0.7481, 0.5000)
W (0.9979, 0.9979, 0.0000)
W (0.7620, 0.2620, 0.5000)

Energy relative to the lowest polymorph listed for this composition = 0.166 eV per atom
Calculated total energy = -8.502 eV per atom
Formation energy from the elements = 0.291 eV/atom

The following is a DFT calculation (PBE-GGA) of a geometry-optimized NaCd2InBr8 structure.

abc: 6.8993 6.4967 8.2914
angles: 90.00 90.00 89.96
Atoms (fractional coordinates):
Na (0.0000, 0.0000, 0.5000)
Cd (0.5001, 0.4999, 0.7483)
Cd (0.4999, 0.5001, 0.2517)
In (0.0000, 0.0000, 0.0000)
Br (0.1545, 0.7649, 0.2325)
Br (0.6563, 0.7410, 0.0000)
Br (0.8454, 0.2350, 0.2324)
Br (0.8455, 0.2351, 0.7675)
Br (0.3437, 0.2590, 0.0000)
Br (0.1546, 0.7650, 0.7676)
Br (0.6520, 0.7277, 0.5000)
Br (0.3480, 0.2723, 0.5000)

Calculated total energy = -2.508 eV per atom
Energy relative to the elements, uncorrected = -0.902 eV per atom

The following is a DFT calculation (PBE-GGA) of a geometry-optimized InFe2Rh structure.

abc: 4.9883 4.9883 4.3364
angles: 64.88 64.88 37.59
Each line ends with the local moment (μB).
Atoms (fractional coordinates):
Fe (0.0143, 0.0143, 0.9853)  2.64
Fe (0.7318, 0.7318, 0.7694)  2.73
In (0.4930, 0.4930, 0.5066)  -0.08
Rh (0.2609, 0.2609, 0.2387)  0.67

Calculated total energy = -6.710 eV per atom
Formation energy from the elements = 0.044 eV/atom